Record 1
MgIn5Pb (PBE, relaxed); energy of formation = 19.2 kJ/mol of formula units; magnetic moment = 0.00 μB per cell; SG = Imma
1.0
-4.569 4.669 4.607
4.569 -4.669 4.607
4.569 4.669 -4.607
Mg In Pb
2 10 2
Cartesian
-2.284 2.335 2.303 Mg
2.284 2.335 2.303 Mg
2.252 0.000 0.000 In
6.885 0.000 0.000 In
4.569 -2.335 4.409 In
0.000 0.082 2.269 In
4.569 0.082 2.338 In
2.252 4.669 0.000 In
2.316 0.000 4.607 In
0.000 4.588 2.269 In
4.569 4.588 2.338 In
0.000 7.004 0.198 In
4.569 2.335 -0.215 Pb
0.000 2.335 4.822 Pb

Record 2
MgIn2Pb (PBE, relaxed); energy of formation = 3.6 kJ/mol of formula units; magnetic moment = 0.00 μB per cell; SG = Imm2
1.0
3.547 0.000 0.000
0.000 5.584 0.000
0.000 0.000 10.892
Mg In Pb
2 4 2
Cartesian
0.000 0.000 0.000 Mg
1.774 2.792 5.446 Mg
0.000 0.000 5.600 In
0.000 2.792 2.890 In
1.774 0.000 8.336 In
1.774 2.792 0.154 In
0.000 2.792 8.144 Pb
1.774 0.000 2.698 Pb

Record 3
MgInPb (PBE, relaxed); energy of formation = 2.6 kJ/mol of formula units; magnetic moment = 0.00 μB per cell; SG = Imm2
1.0
3.404 0.000 0.000
0.000 5.662 0.000
0.000 0.000 8.617
Mg In Pb
2 2 2
Cartesian
0.000 0.000 0.000 Mg
1.702 2.831 4.309 Mg
0.000 2.831 6.956 In
1.702 0.000 2.648 In
0.000 2.831 1.585 Pb
1.702 0.000 5.893 Pb